# 1
Mg3Cr4 | PBE | relaxed

The total energy is -83.38 eV for the cell shown. As for the total magnetization: 0.3 Bohr magnetons per cell. The distance to the lowest polymorph of the same formula comes out at 0.00 eV/f.u. Its energy relative to the elements is 21.9 kJ per mole of atoms. For the density of states at the Fermi level, the calculation gives 1.55 states/eV/f.u.

The structure in CIF format:
```
data_Mg3Cr4
_chemical_formula_sum 'Mg6 Cr8'
_cell_length_a 3.056
_cell_length_b 3.056
_cell_length_c 24.021
_cell_angle_alpha 90.00
_cell_angle_beta 90.00
_cell_angle_gamma 90.00
_space_group_name_H-M_alt 'I 4/m m m'
_space_group_IT_number 139
_space_group_name_Hall '-I 4 2'
loop_
_atom_site_label
_atom_site_fract_x
_atom_site_fract_y
_atom_site_fract_z
Mg1 0.000 0.000 0.000
Mg2 0.000 0.000 0.298
Cr1 0.000 0.000 0.122
Cr2 0.000 0.000 0.420
```

***

# 2
YGa2O4 | PBE | relaxed

The total energy is -46.69 eV for the cell shown. As for the total magnetization: 0.0 Bohr magnetons per cell. The calculation puts the formation energy without anion corrections at -2048 meV/atom. For the density of states at the Fermi level, the calculation gives 0.73 states/eV/f.u.

The structure in CIF format:
```
data_YGa2O4
_chemical_formula_sum 'Y1 Ga2 O4'
_cell_length_a 4.524
_cell_length_b 4.524
_cell_length_c 5.351
_cell_angle_alpha 90.00
_cell_angle_beta 90.00
_cell_angle_gamma 90.00
_space_group_name_H-M_alt 'P -4 2 m'
_space_group_IT_number 111
loop_
_space_group_symop_operation_xyz
'x,y,z'
'y,-x,-z'
'-x,-y,z'
'-y,x,-z'
'x,-y,-z'
'y,x,z'
'-x,y,-z'
'-y,-x,z'
loop_
_atom_site_label
_atom_site_fract_x
_atom_site_fract_y
_atom_site_fract_z
Y1 0.000 0.000 0.000
Ga1 0.000 0.500 0.500
O1 0.243 0.243 0.293
```

***

# 3
NaCuRh2 | PBE | relaxed

The total energy is -72.70 eV for the cell shown. As for the total magnetization: 4.7 Bohr magnetons per cell. The distance to the lowest polymorph of the same formula comes out at 0.00 eV/f.u. Its energy relative to the elements is 46.8 kJ per mole of atoms. For the density of states at the Fermi level, the calculation gives 6.14 states/eV/f.u.

The structure in CIF format:
```
data_NaCuRh2
_chemical_formula_sum 'Na4 Cu4 Rh8'
_cell_length_a 6.167
_cell_length_b 6.167
_cell_length_c 6.167
_cell_angle_alpha 90.00
_cell_angle_beta 90.00
_cell_angle_gamma 90.00
_space_group_name_H-M_alt 'F m -3 m'
_space_group_IT_number 225
_space_group_name_Hall '-F 4 2 3'
loop_
_atom_site_label
_atom_site_fract_x
_atom_site_fract_y
_atom_site_fract_z
Na1 0.000 0.000 0.000
Cu1 0.000 0.000 0.500
Rh1 0.250 0.250 0.250
```